Material: NdMgSi2Os
Method: DFT, PBE
State: optimized geometry

abc: 4.0823 4.0823 10.9441
angles: 90.00 90.00 90.00
Last column: nearest neighbours and their distance in Å.
Atoms (fractional coordinates):
Nd1 0.0000 0.0000 0.0000  8 Si 3.14, 4 Os 3.41, 4 Mg 3.41
Nd2 0.5000 0.5000 0.5000  8 Si 3.14, 4 Os 3.41, 4 Mg 3.41
Mg1 0.0000 0.5000 0.7500  4 Si 2.54
Mg2 0.5000 0.0000 0.2500  4 Si 2.54
Si1 0.0000 0.0000 0.3874  1 Si 2.47, 2 Mg 2.54, 2 Os 2.54
Si2 0.0000 0.0000 0.6126  1 Si 2.47, 2 Os 2.54, 2 Mg 2.54
Si3 0.5000 0.5000 0.1126  1 Si 2.47, 2 Os 2.54, 2 Mg 2.54
Si4 0.5000 0.5000 0.8874  1 Si 2.47, 2 Mg 2.54, 2 Os 2.54
Os1 0.0000 0.5000 0.2500  4 Si 2.54
Os2 0.5000 0.0000 0.7500  4 Si 2.54

Values from the calculation:
- Space-group type: I-4m2 (119)
- Volume: 182 Å³ per cell
- Raw formation energy: -2.3 eV/f.u.
- Total moment: 0.0 μB/cell
- D(E_F): 8.16 states/eV per cell


Material: NdSmMgOs
Method: DFT, PBE
State: optimized geometry

abc: 7.2537 7.2537 7.2537
angles: 90.00 90.00 90.00
Last column: nearest neighbours and their distance in Å.
Atoms (fractional coordinates):
Nd1 0.0000 0.0000 0.0000  4 Mg 3.14, 4 Os 3.14
Nd2 0.0000 0.5000 0.5000  4 Os 3.14, 4 Mg 3.14
Nd3 0.5000 0.0000 0.5000  4 Os 3.14, 4 Mg 3.14
Nd4 0.5000 0.5000 0.0000  4 Os 3.14, 4 Mg 3.14
Sm1 0.0000 0.0000 0.5000  4 Mg 3.14, 4 Os 3.14
Sm2 0.0000 0.5000 0.0000  4 Mg 3.14, 4 Os 3.14
Sm3 0.5000 0.0000 0.0000  4 Mg 3.14, 4 Os 3.14
Sm4 0.5000 0.5000 0.5000  4 Os 3.14, 4 Mg 3.14
Mg1 0.2500 0.2500 0.7500  4 Nd 3.14, 4 Sm 3.14
Mg2 0.2500 0.7500 0.2500  4 Nd 3.14, 4 Sm 3.14
Mg3 0.7500 0.2500 0.2500  4 Nd 3.14, 4 Sm 3.14
Mg4 0.7500 0.7500 0.7500  4 Nd 3.14, 4 Sm 3.14
Os1 0.2500 0.2500 0.2500  4 Nd 3.14, 4 Sm 3.14
Os2 0.2500 0.7500 0.7500  4 Sm 3.14, 4 Nd 3.14
Os3 0.7500 0.2500 0.7500  4 Sm 3.14, 4 Nd 3.14
Os4 0.7500 0.7500 0.2500  4 Sm 3.14, 4 Nd 3.14

Values from the calculation:
- Space-group type: F-43m (216)
- ΔH_f (0 K): -0.01 eV/atom
- Volume: 382 Å³ per cell
- Total moment: 0.0 μB/cell
- D(E_F): 12.16 states/eV per cell


Material: TbNdMgOs
Method: DFT, PBE
State: optimized geometry

abc: 7.1956 7.1956 7.1956
angles: 90.00 90.00 90.00
Last column: nearest neighbours and their distance in Å.
Atoms (fractional coordinates):
Tb1 0.0000 0.0000 0.0000  4 Os 3.12, 4 Mg 3.12
Tb2 0.0000 0.5000 0.5000  4 Os 3.12, 4 Mg 3.12
Tb3 0.5000 0.0000 0.5000  4 Os 3.12, 4 Mg 3.12
Tb4 0.5000 0.5000 0.0000  4 Os 3.12, 4 Mg 3.12
Nd1 0.0000 0.0000 0.5000  4 Mg 3.12, 4 Os 3.12
Nd2 0.0000 0.5000 0.0000  4 Mg 3.12, 4 Os 3.12
Nd3 0.5000 0.0000 0.0000  4 Mg 3.12, 4 Os 3.12
Nd4 0.5000 0.5000 0.5000  4 Mg 3.12, 4 Os 3.12
Mg1 0.2500 0.2500 0.7500  4 Tb 3.12, 4 Nd 3.12
Mg2 0.2500 0.7500 0.2500  4 Tb 3.12, 4 Nd 3.12
Mg3 0.7500 0.2500 0.2500  4 Tb 3.12, 4 Nd 3.12
Mg4 0.7500 0.7500 0.7500  4 Tb 3.12, 4 Nd 3.12
Os1 0.2500 0.2500 0.2500  4 Nd 3.12, 4 Tb 3.12
Os2 0.2500 0.7500 0.7500  4 Tb 3.12, 4 Nd 3.12
Os3 0.7500 0.2500 0.7500  4 Tb 3.12, 4 Nd 3.12
Os4 0.7500 0.7500 0.2500  4 Tb 3.12, 4 Nd 3.12

Values from the calculation:
- Space-group type: F-43m (216)
- ΔH_f (0 K): -0.05 eV/atom
- Volume: 373 Å³ per cell
- Total moment: 0.0 μB/cell
- D(E_F): 11.11 states/eV per cell


Material: NdThMgOs
Method: DFT, PBE
State: optimized geometry

abc: 7.3186 7.3186 7.3186
angles: 90.00 90.00 90.00
Last column: nearest neighbours and their distance in Å.
Atoms (fractional coordinates):
Nd1 0.0000 0.0000 0.0000  4 Os 3.17, 4 Mg 3.17
Nd2 0.0000 0.5000 0.5000  4 Os 3.17, 4 Mg 3.17
Nd3 0.5000 0.0000 0.5000  4 Os 3.17, 4 Mg 3.17
Nd4 0.5000 0.5000 0.0000  4 Os 3.17, 4 Mg 3.17
Th1 0.0000 0.0000 0.5000  4 Mg 3.17, 4 Os 3.17
Th2 0.0000 0.5000 0.0000  4 Mg 3.17, 4 Os 3.17
Th3 0.5000 0.0000 0.0000  4 Mg 3.17, 4 Os 3.17
Th4 0.5000 0.5000 0.5000  4 Os 3.17, 4 Mg 3.17
Mg1 0.2500 0.2500 0.7500  4 Nd 3.17, 4 Th 3.17
Mg2 0.2500 0.7500 0.2500  4 Nd 3.17, 4 Th 3.17
Mg3 0.7500 0.2500 0.2500  4 Nd 3.17, 4 Th 3.17
Mg4 0.7500 0.7500 0.7500  4 Th 3.17, 4 Nd 3.17
Os1 0.2500 0.2500 0.2500  4 Th 3.17, 4 Nd 3.17
Os2 0.2500 0.7500 0.7500  4 Th 3.17, 4 Nd 3.17
Os3 0.7500 0.2500 0.7500  4 Th 3.17, 4 Nd 3.17
Os4 0.7500 0.7500 0.2500  4 Th 3.17, 4 Nd 3.17

Values from the calculation:
- Space-group type: F-43m (216)
- ΔH_f (0 K): 0.01 eV/atom
- Volume: 392 Å³ per cell
- Total moment: 0.0 μB/cell
- D(E_F): 13.53 states/eV per cell


Material: NdYMgOs
Method: DFT, PBE
State: optimized geometry

abc: 7.1911 7.1911 7.1911
angles: 90.00 90.00 90.00
Last column: nearest neighbours and their distance in Å.
Atoms (fractional coordinates):
Nd1 0.0000 0.0000 0.0000  4 Os 3.11, 4 Mg 3.11
Nd2 0.0000 0.5000 0.5000  4 Os 3.11, 4 Mg 3.11
Nd3 0.5000 0.0000 0.5000  4 Os 3.11, 4 Mg 3.11
Nd4 0.5000 0.5000 0.0000  4 Os 3.11, 4 Mg 3.11
Y1 0.0000 0.0000 0.5000  4 Mg 3.11, 4 Os 3.11
Y2 0.0000 0.5000 0.0000  4 Mg 3.11, 4 Os 3.11
Y3 0.5000 0.0000 0.0000  4 Mg 3.11, 4 Os 3.11
Y4 0.5000 0.5000 0.5000  4 Mg 3.11, 4 Os 3.11
Mg1 0.2500 0.2500 0.7500  4 Nd 3.11, 4 Y 3.11
Mg2 0.2500 0.7500 0.2500  4 Nd 3.11, 4 Y 3.11
Mg3 0.7500 0.2500 0.2500  4 Nd 3.11, 4 Y 3.11
Mg4 0.7500 0.7500 0.7500  4 Nd 3.11, 4 Y 3.11
Os1 0.2500 0.2500 0.2500  4 Nd 3.11, 4 Y 3.11
Os2 0.2500 0.7500 0.7500  4 Nd 3.11, 4 Y 3.11
Os3 0.7500 0.2500 0.7500  4 Nd 3.11, 4 Y 3.11
Os4 0.7500 0.7500 0.2500  4 Nd 3.11, 4 Y 3.11

Values from the calculation:
- Space-group type: F-43m (216)
- ΔH_f (0 K): -0.05 eV/atom
- Volume: 372 Å³ per cell
- Total moment: 0.0 μB/cell
- D(E_F): 11.89 states/eV per cell


Material: Nd3MgP
Method: DFT, PBE
State: optimized geometry

abc: 5.5355 5.5355 5.5355
angles: 90.00 90.00 90.00
Last column: nearest neighbours and their distance in Å.
Atoms (fractional coordinates):
Nd1 0.0000 0.0000 0.5000  2 P 2.77
Nd2 0.0000 0.5000 0.0000  2 P 2.77
Nd3 0.5000 0.0000 0.0000  2 P 2.77
Mg1 0.5000 0.5000 0.5000  12 Nd 3.91
P1 0.0000 0.0000 0.0000  6 Nd 2.77

Values from the calculation:
- Space-group type: Pm-3m (221)
- ΔH_f (0 K): -0.46 eV/atom
- Volume: 170 Å³ per cell
- Total moment: 0.0 μB/cell
- D(E_F): 8.34 states/eV per cell


Material: NdMgP2Pd5
Method: DFT, PBE
State: optimized geometry

abc: 4.2497 4.2497 8.5743
angles: 90.00 90.00 90.00
Last column: nearest neighbours and their distance in Å.
Atoms (fractional coordinates):
Nd1 0.0000 0.0000 0.0000  12 Pd 3.00-3.02
Mg1 0.0000 0.0000 0.5000  8 Pd 3.01, 8 P 3.19
P1 0.5000 0.5000 0.3737  1 P 2.17, 4 Pd 2.37
P2 0.5000 0.5000 0.6263  1 P 2.17, 4 Pd 2.37
Pd1 0.0000 0.5000 0.2506  2 P 2.37
Pd2 0.0000 0.5000 0.7494  2 P 2.37
Pd3 0.5000 0.0000 0.2506  2 P 2.37
Pd4 0.5000 0.0000 0.7494  2 P 2.37
Pd5 0.5000 0.5000 0.0000  4 Nd 3.00, 8 Pd 3.02, 2 P 3.20

Values from the calculation:
- Space-group type: P4/mmm (123)
- ΔH_f (0 K): -0.69 eV/atom
- Volume: 155 Å³ per cell
- Total moment: 0.0 μB/cell
- D(E_F): 2.63 states/eV per cell


Material: Nd2MgP3Pd4
Method: DFT, PBE
State: optimized geometry

abc: 4.1054 4.1054 10.8150
angles: 90.00 90.00 90.00
Last column: nearest neighbours and their distance in Å.
Atoms (fractional coordinates):
Nd1 0.0000 0.5000 0.2264  4 P 3.06, 8 Pd 3.20-3.22
Nd2 0.5000 0.0000 0.7736  4 P 3.06, 8 Pd 3.20-3.22
Mg1 0.0000 0.0000 0.5000  4 Pd 2.58
P1 0.0000 0.5000 0.8638  5 Pd 2.37-2.53
P2 0.5000 0.0000 0.1362  5 Pd 2.37-2.53
P3 0.5000 0.5000 0.5000  4 Pd 2.58
Pd1 0.0000 0.0000 0.0000  4 P 2.53
Pd2 0.0000 0.5000 0.6446  3 P 2.37-2.58, 2 Mg 2.58
Pd3 0.5000 0.0000 0.3554  3 P 2.37-2.58, 2 Mg 2.58
Pd4 0.5000 0.5000 0.0000  4 P 2.53

Values from the calculation:
- Space-group type: P-4m2 (115)
- ΔH_f (0 K): -0.93 eV/atom
- Volume: 182 Å³ per cell
- Total moment: 0.0 μB/cell
- D(E_F): 5.72 states/eV per cell


Material: Nd2MgPPt6
Method: DFT, PBE
State: optimized geometry

abc: 5.6164 8.7033 8.2924
angles: 90.00 90.00 90.00
Last column: nearest neighbours and their distance in Å.
Atoms (fractional coordinates):
Nd1 0.2500 0.0129 0.2285  9 Pt 3.06-3.41
Nd2 0.2500 0.4871 0.2285  9 Pt 3.06-3.41
Nd3 0.7500 0.5129 0.7715  9 Pt 3.06-3.41
Nd4 0.7500 0.9871 0.7715  9 Pt 3.06-3.41
Mg1 0.2500 0.7500 0.7913  6 Pt 2.58-2.67
Mg2 0.7500 0.2500 0.2087  6 Pt 2.58-2.67
P1 0.2500 0.2500 0.7240  6 Pt 2.33-2.44
P2 0.7500 0.7500 0.2760  6 Pt 2.33-2.44
Pt1 0.0006 0.7500 0.0519  1 P 2.33, 1 Mg 2.58
Pt2 0.0042 0.7500 0.5153  1 P 2.44, 1 Mg 2.67, 2 Pt 2.71
Pt3 0.2500 0.0028 0.6099  1 P 2.35
Pt4 0.2500 0.4972 0.6099  1 P 2.35
Pt5 0.4958 0.7500 0.5153  1 P 2.44, 1 Mg 2.67, 2 Pt 2.71
Pt6 0.4994 0.7500 0.0519  1 P 2.33, 1 Mg 2.58
Pt7 0.5006 0.2500 0.9481  1 P 2.33, 1 Mg 2.58
Pt8 0.5042 0.2500 0.4847  1 P 2.44, 1 Mg 2.67, 2 Pt 2.71
Pt9 0.7500 0.5028 0.3901  1 P 2.35
Pt10 0.7500 0.9972 0.3901  1 P 2.35
Pt11 0.9958 0.2500 0.4847  1 P 2.44, 1 Mg 2.67, 2 Pt 2.71
Pt12 0.9994 0.2500 0.9481  1 P 2.33, 1 Mg 2.58

Values from the calculation:
- Space-group type: Pmmn (59)
- ΔH_f (0 K): -0.87 eV/atom
- Volume: 405 Å³ per cell
- Total moment: 0.0 μB/cell
- D(E_F): 8.38 states/eV per cell


Material: NdMg2P2Pt7
Method: DFT, PBE
State: optimized geometry

abc: 4.0097 4.0097 13.8719
angles: 97.52 97.52 89.54
Last column: nearest neighbours and their distance in Å.
Atoms (fractional coordinates):
Nd1 0.0000 0.0000 0.0000  12 Pt 2.82-3.06
Mg1 0.0926 0.0926 0.3924  5 Pt 2.77-2.91, 1 P 2.98
Mg2 0.9074 0.9074 0.6076  5 Pt 2.77-2.91, 1 P 2.98
P1 0.3871 0.3871 0.7370  5 Pt 2.25-2.39
P2 0.6129 0.6129 0.2630  5 Pt 2.25-2.39
Pt1 0.0744 0.5767 0.1695  2 P 2.36-2.39
Pt2 0.3879 0.3879 0.5750  1 P 2.25
Pt3 0.4233 0.9256 0.8305  2 P 2.36-2.39
Pt4 0.5000 0.5000 0.0000  4 Nd 2.82-2.85, 8 Pt 3.05-3.06
Pt5 0.5767 0.0744 0.1695  2 P 2.36-2.39
Pt6 0.6121 0.6121 0.4250  1 P 2.25
Pt7 0.9256 0.4233 0.8305  2 P 2.36-2.39

Values from the calculation:
- Space-group type: C2/m (12)
- ΔH_f (0 K): -0.70 eV/atom
- Volume: 219 Å³ per cell
- Total moment: 0.0 μB/cell
- D(E_F): 4.40 states/eV per cell


Please write out number 3 again, unchanged.
Material: TbNdMgOs
Method: DFT, PBE
State: optimized geometry

abc: 7.1956 7.1956 7.1956
angles: 90.00 90.00 90.00
Last column: nearest neighbours and their distance in Å.
Atoms (fractional coordinates):
Tb1 0.0000 0.0000 0.0000  4 Os 3.12, 4 Mg 3.12
Tb2 0.0000 0.5000 0.5000  4 Os 3.12, 4 Mg 3.12
Tb3 0.5000 0.0000 0.5000  4 Os 3.12, 4 Mg 3.12
Tb4 0.5000 0.5000 0.0000  4 Os 3.12, 4 Mg 3.12
Nd1 0.0000 0.0000 0.5000  4 Mg 3.12, 4 Os 3.12
Nd2 0.0000 0.5000 0.0000  4 Mg 3.12, 4 Os 3.12
Nd3 0.5000 0.0000 0.0000  4 Mg 3.12, 4 Os 3.12
Nd4 0.5000 0.5000 0.5000  4 Mg 3.12, 4 Os 3.12
Mg1 0.2500 0.2500 0.7500  4 Tb 3.12, 4 Nd 3.12
Mg2 0.2500 0.7500 0.2500  4 Tb 3.12, 4 Nd 3.12
Mg3 0.7500 0.2500 0.2500  4 Tb 3.12, 4 Nd 3.12
Mg4 0.7500 0.7500 0.7500  4 Tb 3.12, 4 Nd 3.12
Os1 0.2500 0.2500 0.2500  4 Nd 3.12, 4 Tb 3.12
Os2 0.2500 0.7500 0.7500  4 Tb 3.12, 4 Nd 3.12
Os3 0.7500 0.2500 0.7500  4 Tb 3.12, 4 Nd 3.12
Os4 0.7500 0.7500 0.2500  4 Tb 3.12, 4 Nd 3.12

Values from the calculation:
- Space-group type: F-43m (216)
- ΔH_f (0 K): -0.05 eV/atom
- Volume: 373 Å³ per cell
- Total moment: 0.0 μB/cell
- D(E_F): 11.11 states/eV per cell


Number 5 is which compound? NdYMgOs


Among the records above, which one has the highest D(E_F)? NdThMgOs


The highest D(E_F) belongs to which entry? NdThMgOs